## 1
VASP calculation (PBE-GGA) on a relaxed ErTmPu2 crystal.

a b c (Å): 4.7765 4.7765 5.0046
angles (deg): 90.00 90.00 90.00
With the nearest neighbours (Å) after each atom.
Space group P4/mmm (No. 123)
Unique sites:
Er  0.0000  0.0000  0.0000  4 Tm 3.38, 8 Pu 3.46
Tm  0.5000  0.5000  0.0000  4 Er 3.38, 8 Pu 3.46
Pu  0.0000  0.5000  0.5000  4 Pu 3.38, 4 Er 3.46, 4 Tm 3.46

Values from the calculation:
N(E_F)   14.22 states/eV per cell
V   28.545 Å³ per atom
Magnetization   3.20 μB/atom
Calculated density   11.986 g cm⁻³


## 2
VASP calculation (PBE-GGA) on a relaxed ErTmPu2 crystal.

a b c (Å): 7.6549 7.6549 7.6549
angles (deg): 90.00 90.00 90.00
With the nearest neighbours (Å) after each atom.
Space group F-43m (No. 216)
Unique sites:
Er  0.0000  0.0000  0.0000  4 Tm 3.31, 4 Pu 3.31
Tm  0.2500  0.2500  0.7500  4 Er 3.31, 4 Pu 3.31
Pu  0.0000  0.0000  0.5000  4 Tm 3.31, 4 Pu 3.31
Pu  0.2500  0.2500  0.2500  4 Er 3.31, 4 Pu 3.31

Values from the calculation:
N(E_F)   97.74 states/eV per cell
V   28.035 Å³ per atom
Magnetization   0.00 μB/atom
Calculated density   12.204 g cm⁻³


1 has the most favorable energy; the next structure is 0.129 eV/atom above.


## 1
VASP calculation (PBE-GGA) on a relaxed ErTmPu2 crystal.

a b c (Å): 3.3766 3.3766 10.0268
angles (deg): 90.00 90.00 90.00
With the nearest neighbours (Å) after each atom.
Space group P4/mmm (No. 123)
Unique sites:
Er  0.0000  0.0000  0.0000  4 Er 3.38, 8 Pu 3.47
Tm  0.0000  0.0000  0.5000  4 Tm 3.38, 8 Pu 3.46
Pu  0.5000  0.5000  0.2508  4 Pu 3.38, 4 Tm 3.46, 4 Er 3.47

Values from the calculation:
N(E_F)   14.00 states/eV per cell
V   28.579 Å³ per atom
Magnetization   3.19 μB/atom
Calculated density   11.972 g cm⁻³


## 2
VASP calculation (PBE-GGA) on a relaxed ErTmPu2 crystal.

a b c (Å): 3.4071 3.4071 33.9505
angles (deg): 90.00 90.00 120.00
With the nearest neighbours (Å) after each atom.
Space group R-3m (No. 166, hexagonal axes)
Unique sites:
Er  0.0000  0.0000  0.0000  6 Er 3.41, 6 Pu 3.45
Tm  0.0000  0.0000  0.5000  6 Tm 3.41, 6 Pu 3.44
Pu  0.0000  0.0000  0.2498  6 Pu 3.41, 3 Tm 3.44, 3 Er 3.45

Values from the calculation:
N(E_F)   50.08 states/eV per cell
V   28.443 Å³ per atom
Magnetization   2.97 μB/atom
Calculated density   12.029 g cm⁻³


1 has the most favorable energy; the next structure is 0.007 eV/atom above.


## 1
VASP calculation (PBE-GGA) on a relaxed Er3Tm4Pu crystal.

a b c (Å): 3.3785 11.3866 12.5690
angles (deg): 90.00 90.00 90.00
With the nearest neighbours (Å) after each atom.
Space group Immm (No. 71)
Unique sites:
Er  0.0000  0.0000  0.0000  6 Er 3.38-3.70, 8 Tm 3.72
Er  0.0000  0.5000  0.2378  6 Tm 3.30-3.55, 2 Er 3.38, 2 Pu 3.43
Tm  0.0000  0.2481  0.3678  1 Pu 3.28, 3 Er 3.30-3.55, 5 Tm 3.32-3.41
Pu  0.0000  0.0000  0.5000  4 Tm 3.28, 2 Pu 3.38, 4 Er 3.43

Values from the calculation:
N(E_F)   35.45 states/eV per cell
V   30.221 Å³ per atom
Magnetization   0.74 μB/atom
Calculated density   9.764 g cm⁻³


## 2
VASP calculation (PBE-GGA) on a relaxed Er3Tm4Pu crystal.

a b c (Å): 11.1021 7.0765 6.1090
angles (deg): 90.00 90.00 90.00
With the nearest neighbours (Å) after each atom.
Space group Pmn2_1 (No. 31)
Unique sites:
Er  0.0000  0.1214  0.0000  4 Er 3.43-3.44, 6 Tm 3.46-3.58, 2 Pu 3.51-3.53
Er  0.2495  0.1242  0.3306  4 Er 3.43-3.52, 2 Pu 3.44-3.45, 6 Tm 3.45-3.56
Tm  0.0000  0.3761  0.4980  6 Tm 3.43-3.54, 4 Er 3.45-3.56, 2 Pu 3.53-3.55
Tm  0.0000  0.6273  0.9985  4 Er 3.45-3.58, 6 Tm 3.45-3.54, 2 Pu 3.52
Tm  0.2485  0.6273  0.3373  1 Pu 3.41, 6 Tm 3.43-3.55, 5 Er 3.46-3.56
Pu  0.0000  0.8748  0.4978  6 Tm 3.41-3.55, 6 Er 3.44-3.53

Values from the calculation:
N(E_F)   36.72 states/eV per cell
V   29.997 Å³ per atom
Magnetization   0.85 μB/atom
Calculated density   9.836 g cm⁻³


2 has the most favorable energy; the next structure is 0.116 eV/atom above.


## 1
VASP calculation (PBE-GGA) on a relaxed Er4Tm5Pu crystal.

a b c (Å): 16.4954 3.4573 11.1251
angles (deg): 90.00 108.90 90.00
With the nearest neighbours (Å) after each atom.
Space group C2/m (No. 12)
Unique sites:
Er  0.0841  0.0000  0.2915  6 Tm 3.35-3.63, 4 Er 3.43-3.46, 2 Pu 3.54
Er  0.1060  0.5000  0.7982  6 Tm 3.21-3.52, 1 Pu 3.26, 4 Er 3.43-3.46
Tm  0.0000  0.5000  0.5000  6 Er 3.21-3.52, 2 Tm 3.46
Tm  0.1886  0.0000  0.0781  4 Er 3.22-3.43, 2 Pu 3.42, 4 Tm 3.46-3.52
Tm  0.2116  0.0000  0.6166  8 Tm 3.46-3.73, 5 Er 3.52-3.63
Pu  0.0000  0.5000  0.0000  6 Er 3.26-3.54, 4 Tm 3.42, 2 Pu 3.46

Values from the calculation:
N(E_F)   36.24 states/eV per cell
V   30.012 Å³ per atom
Magnetization   0.58 μB/atom
Calculated density   9.725 g cm⁻³


## 2
VASP calculation (PBE-GGA) on a relaxed Er4Tm5Pu crystal.

a b c (Å): 10.6957 10.6957 5.3481
angles (deg): 90.00 90.00 90.00
With the nearest neighbours (Å) after each atom.
Space group I4mm (No. 107)
Unique sites:
Er  0.0000  0.3250  0.0000  7 Tm 3.38-3.65, 5 Er 3.74-3.76
Tm  0.0000  0.0000  0.9896  2 Pu 2.67-2.68
Tm  0.1844  0.1844  0.4996  1 Pu 2.79
Pu  0.0000  0.0000  0.4881  6 Tm 2.67-2.79

Values from the calculation:
N(E_F)   23.98 states/eV per cell
V   30.590 Å³ per atom
Magnetization   0.56 μB/atom
Calculated density   9.541 g cm⁻³


1 has the most favorable energy; the next structure is 0.218 eV/atom above.


## 1
VASP calculation (PBE-GGA) on a relaxed Er8Tm2Pu crystal.

a b c (Å): 5.4369 7.7823 15.9273
angles (deg): 90.00 90.00 90.00
With the nearest neighbours (Å) after each atom.
Space group Immm (No. 71)
Unique sites:
Er  0.0000  0.0000  0.1682  2 Tm 3.45, 8 Er 3.47-3.56, 2 Pu 3.82
Er  0.0000  0.2131  0.3648  1 Pu 3.10, 3 Er 3.32-3.47, 3 Tm 3.34-3.47
Er  0.0000  0.2836  0.0000  7 Er 3.37-3.47, 2 Pu 3.50, 2 Tm 3.57
Tm  0.0000  0.5000  0.1979  10 Er 3.34-3.57
Pu  0.0000  0.5000  0.5000  4 Er 3.10

Values from the calculation:
N(E_F)   40.91 states/eV per cell
V   30.632 Å³ per atom
Magnetization   0.63 μB/atom
Calculated density   9.462 g cm⁻³


## 2
VASP calculation (PBE-GGA) on a relaxed Er8Tm2Pu crystal.

a b c (Å): 18.6894 6.7479 5.5410
angles (deg): 90.00 92.34 90.00
With the nearest neighbours (Å) after each atom.
Space group C2/m (No. 12)
Unique sites:
Er  0.0468  0.0000  0.2387  2 Er 3.11-3.44, 1 Tm 3.17
Er  0.1316  0.2354  0.7369  4 Er 3.18-3.51, 1 Tm 3.35, 1 Pu 3.41
Er  0.1846  0.5000  0.2375  4 Tm 3.32-3.43, 4 Er 3.41-3.47, 1 Pu 3.64
Tm  0.2167  0.0000  0.2472  7 Er 3.17-3.43
Pu  0.0000  0.5000  0.0000  10 Er 3.41-3.72

Values from the calculation:
N(E_F)   45.61 states/eV per cell
V   31.737 Å³ per atom
Magnetization   0.53 μB/atom
Calculated density   9.132 g cm⁻³


1 has the most favorable energy; the next structure is 0.065 eV/atom above.


## 1
VASP calculation (PBE-GGA) on a relaxed Y6Er2Pu crystal.

a b c (Å): 6.4483 6.6286 14.9499
angles (deg): 82.57 82.38 63.44
With the nearest neighbours (Å) after each atom.
Space group P-1 (No. 2)
Unique sites:
Y  0.0175  0.3273  0.4233  1 Pu 3.14, 2 Y 3.36-3.48, 1 Er 3.46
Y  0.0634  0.0996  0.6623  4 Er 3.47-3.66, 8 Y 3.51-3.85, 2 Pu 3.69-3.87
Y  0.2212  0.7182  0.1153  1 Pu 3.11, 2 Y 3.28-3.37, 2 Er 3.38-3.41
Y  0.2531  0.7782  0.8934  1 Pu 3.12, 2 Y 3.28-3.37, 2 Er 3.36-3.42
Y  0.2572  0.2563  0.9981  9 Y 3.44-3.72, 2 Pu 3.58-3.64, 1 Er 3.81
Y  0.4535  0.7832  0.4654  3 Er 3.48-3.53, 9 Y 3.48-3.79
Er  0.4551  0.9584  0.2323  2 Pu 3.33-3.57, 5 Y 3.36-3.66, 2 Er 3.51
Er  0.4683  0.4303  0.3092  2 Pu 3.37-3.66, 7 Y 3.41-3.49, 2 Er 3.51
Pu  0.0312  0.5618  0.7854  3 Y 3.11-3.14, 2 Er 3.33-3.37

Values from the calculation:
N(E_F)   39.26 states/eV per cell
V   31.375 Å³ per atom
Magnetization   0.73 μB/atom
Calculated density   6.539 g cm⁻³


## 2
VASP calculation (PBE-GGA) on a relaxed Y6Er2Pu crystal.

a b c (Å): 7.3040 7.3040 19.0442
angles (deg): 90.00 90.00 120.00
With the nearest neighbours (Å) after each atom.
Space group R3m (No. 160, hexagonal axes)
Unique sites:
Y  0.0068  0.5034  0.0000  1 Pu 3.01
Y  0.0312  0.5156  0.8073  1 Pu 2.79
Er  0.0000  0.0000  0.8149  1 Er 3.37, 9 Y 3.55-3.66
Er  0.0000  0.0000  0.9921  1 Er 3.37, 9 Y 3.41-3.66
Pu  0.0000  0.0000  0.5563  6 Y 2.79-3.01

Values from the calculation:
N(E_F)   37.16 states/eV per cell
V   32.587 Å³ per atom
Magnetization   0.49 μB/atom
Calculated density   6.296 g cm⁻³


1 has the most favorable energy; the next structure is 0.258 eV/atom above.


## 1
VASP calculation (PBE-GGA) on a relaxed YErPu crystal.

a b c (Å): 3.5069 3.5069 8.5247
angles (deg): 90.00 90.00 120.00
With the nearest neighbours (Å) after each atom.
Space group P3m1 (No. 156)
Unique sites:
Y  0.0000  0.0000  0.0000  3 Pu 3.50, 6 Y 3.51, 3 Er 3.51
Er  0.3333  0.6667  0.6630  3 Pu 3.46, 6 Er 3.51, 3 Y 3.51
Pu  0.6667  0.3333  0.3343  3 Er 3.46, 3 Y 3.50, 6 Pu 3.51

Values from the calculation:
N(E_F)   9.18 states/eV per cell
V   30.264 Å³ per atom
Magnetization   2.03 μB/atom
Calculated density   9.148 g cm⁻³


## 2
VASP calculation (PBE-GGA) on a relaxed YErPu crystal.

a b c (Å): 3.3569 5.5630 9.6516
angles (deg): 90.00 90.00 90.00
With the nearest neighbours (Å) after each atom.
Space group Pmmn (No. 59, origin choice 2)
Unique sites:
Y  0.2500  0.2500  0.0672  4 Pu 3.33-3.56, 6 Y 3.36-3.50, 2 Er 3.63
Er  0.2500  0.7500  0.5993  5 Pu 3.30-3.53, 2 Er 3.36, 2 Y 3.63
Pu  0.2500  0.7500  0.2575  5 Er 3.30-3.53, 4 Y 3.33-3.56, 2 Pu 3.36

Values from the calculation:
N(E_F)   20.78 states/eV per cell
V   30.039 Å³ per atom
Magnetization   2.19 μB/atom
Calculated density   9.216 g cm⁻³


1 has the most favorable energy; the next structure is 0.045 eV/atom above.


## 1
VASP calculation (PBE-GGA) on a relaxed ErPuZn crystal.

a b c (Å): 3.4688 3.4688 12.3361
angles (deg): 90.00 90.00 90.00
With the nearest neighbours (Å) after each atom.
Space group I4mm (No. 107)
Unique sites:
Er  0.0000  0.0000  0.0000  4 Zn 3.02
Pu  0.0000  0.0000  0.7036  4 Zn 3.10, 4 Pu 3.47
Zn  0.0000  0.0000  0.3573  4 Er 3.02, 4 Pu 3.10

Values from the calculation:
N(E_F)   14.26 states/eV per cell
V   24.739 Å³ per atom
Magnetization   2.08 μB/atom
Calculated density   10.665 g cm⁻³


## 2
VASP calculation (PBE-GGA) on a relaxed ErPuZn crystal.

a b c (Å): 3.6117 15.9761 4.9292
angles (deg): 90.00 90.00 90.00
With the nearest neighbours (Å) after each atom.
Space group Cmcm (No. 63)
Unique sites:
Er  0.0000  0.0763  0.2500  6 Zn 3.06-3.12
Pu  0.0000  0.2382  0.7500  2 Zn 3.07, 4 Pu 3.08
Zn  0.0000  0.4168  0.2500  6 Er 3.06-3.12, 2 Pu 3.07

Values from the calculation:
N(E_F)   32.24 states/eV per cell
V   23.702 Å³ per atom
Magnetization   1.93 μB/atom
Calculated density   11.132 g cm⁻³


2 has the most favorable energy; the next structure is 0.045 eV/atom above.